A plane-wave DFT calculation with PBE was carried out for an optimized crystal structure of TmTlZnTe3.

extended XYZ file:
```
12
Lattice="2.158 -7.806 0.000 2.158 7.806 0.000 0.000 0.000 11.492" Properties=species:S:1:pos:R:3 pbc="T T T"
Te 2.158 -2.065 0.670
Te 2.158 -6.691 2.873
Te 2.158 -2.065 5.076
Te 2.158 2.065 6.416
Te 2.158 6.691 8.619
Te 2.158 2.065 10.822
Tl 2.158 3.999 2.873
Tl 2.158 -3.999 8.619
Tm 0.000 0.000 0.000
Tm 0.000 0.000 5.746
Zn 2.158 -0.568 2.873
Zn 2.158 0.568 8.619
```

The value obtained for the excess energy over the best structure of this formula in the dataset is 0 meV per atom. As for the magnetic moment: 0.00 μB/f.u.